[1]
La2Sb3PPd4 | PBE-GGA | relaxed

a = 4.631 Å, b = 4.631 Å, c = 10.284 Å
α = 90.00°, β = 90.00°, γ = 90.00°
Space group P-4m2 (No. 115)
One atom of each set of equivalent atoms:
La 0.000 0.500 0.243 x2
Sb 0.000 0.000 0.000 x1
Sb 0.000 0.500 0.633 x2
P 0.500 0.500 0.000 x1
Pd 0.000 0.000 0.500 x1
Pd 0.000 0.500 0.889 x2
Pd 0.500 0.500 0.500 x1

Computed properties:
ΔE_f (raw) = -884 meV per atom

***

[2]
La2SbP3Pd4 | PBE-GGA | relaxed

a = 4.313 Å, b = 4.313 Å, c = 10.432 Å
α = 90.00°, β = 90.00°, γ = 90.00°
Space group P-4m2 (No. 115)
One atom of each set of equivalent atoms:
La 0.000 0.500 0.232 x2
Sb 0.000 0.000 0.500 x1
P 0.000 0.500 0.874 x2
P 0.500 0.500 0.500 x1
Pd 0.000 0.000 0.000 x1
Pd 0.000 0.500 0.645 x2
Pd 0.500 0.500 0.000 x1

Computed properties:
ΔE_f (raw) = -909 meV per atom

***

[3]
LaSbPPd2 | PBE-GGA | relaxed

a = 4.588 Å, b = 4.588 Å, c = 5.529 Å
α = 90.00°, β = 90.00°, γ = 90.00°
Space group P4/mmm (No. 123)
One atom of each set of equivalent atoms:
La 0.000 0.000 0.000 x1
Sb 0.500 0.500 0.000 x1
P 0.500 0.500 0.500 x1
Pd 0.000 0.500 0.500 x2

Computed properties:
ΔE_f (raw) = -531 meV per atom

***

[4]
La2PPdSe | PBE-GGA | relaxed

a = 5.600 Å, b = 5.600 Å, c = 4.411 Å
α = 90.00°, β = 90.00°, γ = 90.00°
Space group P4/mmm (No. 123)
One atom of each set of equivalent atoms:
La 0.000 0.500 0.000 x2
P 0.000 0.000 0.000 x1
Pd 0.000 0.000 0.500 x1
Se 0.500 0.500 0.500 x1

Computed properties:
ΔE_f (raw) = -1106 meV per atom

***

[5]
LaSmP2Pd2 | PBE-GGA | relaxed

a = 4.2529 Å, b = 4.2529 Å, c = 7.8438 Å
α = 90.00°, β = 90.00°, γ = 120.00°
Space group P-3m1 (No. 164)
One atom of each set of equivalent atoms:
La 0.0000 0.0000 0.0000 x1
Sm 0.0000 0.0000 0.5000 x1
P 0.3333 0.6667 0.2585 x2
Pd 0.3333 0.6667 0.7428 x2

Computed properties:
formation enthalpy at 0 K = -1.277 eV/atom

***

[6]
La2SnP3Pd4 | PBE-GGA | relaxed

a = 4.223 Å, b = 4.223 Å, c = 10.811 Å
α = 90.00°, β = 90.00°, γ = 90.00°
Space group P-4m2 (No. 115)
One atom of each set of equivalent atoms:
La 0.000 0.500 0.230 x2
Sn 0.000 0.000 0.500 x1
P 0.000 0.500 0.872 x2
P 0.500 0.500 0.500 x1
Pd 0.000 0.000 0.000 x1
Pd 0.000 0.500 0.652 x2
Pd 0.500 0.500 0.000 x1

Computed properties:
formation enthalpy at 0 K = -0.916 eV/atom

***

[7]
SrLaP2Pd4 | PBE-GGA | relaxed

a = 4.181 Å, b = 4.181 Å, c = 9.898 Å
α = 90.00°, β = 90.00°, γ = 90.00°
Space group P4/mmm (No. 123)
One atom of each set of equivalent atoms:
Sr 0.000 0.000 0.000 x1
La 0.000 0.000 0.500 x1
P 0.500 0.500 0.166 x2
Pd 0.000 0.500 0.279 x4

Computed properties:
formation enthalpy at 0 K = -0.745 eV/atom

***

[8]
LaTbP2Pd2 | PBE-GGA | relaxed

a = 4.2400 Å, b = 4.2400 Å, c = 7.7424 Å
α = 90.00°, β = 90.00°, γ = 120.00°
Space group P-3m1 (No. 164)
One atom of each set of equivalent atoms:
La 0.0000 0.0000 0.0000 x1
Tb 0.0000 0.0000 0.5000 x1
P 0.3333 0.6667 0.2606 x2
Pd 0.3333 0.6667 0.7359 x2

Computed properties:
formation enthalpy at 0 K = -1.280 eV/atom

***

[9]
La2TePPd6 | PBE-GGA | relaxed

a = 5.562 Å, b = 8.833 Å, c = 8.676 Å
α = 90.00°, β = 90.00°, γ = 90.00°
Space group Pmmn (No. 59, origin choice 2)
One atom of each set of equivalent atoms:
La 0.250 0.001 0.245 x4
Te 0.250 0.250 0.794 x2
P 0.250 0.750 0.728 x2
Pd 0.003 0.250 0.492 x4
Pd 0.004 0.750 0.947 x4
Pd 0.250 0.002 0.611 x4

Computed properties:
ΔE_f (raw) = -794 meV per atom

***

[10]
LaTe2P2Pd7 | PBE-GGA | relaxed

a = 6.036 Å, b = 6.834 Å, c = 11.527 Å
α = 90.00°, β = 94.12°, γ = 90.00°
Space group C2/m (No. 12)
One atom of each set of equivalent atoms:
La 0.000 0.000 0.000 x2
Te 0.167 0.000 0.388 x4
P 0.180 0.500 0.186 x4
Pd 0.000 0.500 0.000 x2
Pd 0.134 0.295 0.777 x8
Pd 0.148 0.500 0.394 x4

Computed properties:
ΔE_f (raw) = -513 meV per atom

***

[11]
La2TlPPd6 | PBE-GGA | relaxed

a = 5.639 Å, b = 8.866 Å, c = 8.548 Å
α = 90.00°, β = 90.00°, γ = 90.00°
Space group Pmmn (No. 59, origin choice 2)
One atom of each set of equivalent atoms:
La 0.250 0.001 0.242 x4
Tl 0.250 0.250 0.798 x2
P 0.250 0.750 0.714 x2
Pd 0.001 0.250 0.514 x4
Pd 0.007 0.750 0.938 x4
Pd 0.250 0.504 0.602 x4

Computed properties:
formation enthalpy at 0 K = -0.687 eV/atom

***

[12]
LaTl2P2Pd7 | PBE-GGA | relaxed

a = 5.964 Å, b = 6.977 Å, c = 11.432 Å
α = 90.00°, β = 95.99°, γ = 90.00°
Space group C2/m (No. 12)
One atom of each set of equivalent atoms:
La 0.000 0.000 0.000 x2
Tl 0.137 0.000 0.380 x4
P 0.186 0.500 0.195 x4
Pd 0.000 0.500 0.000 x2
Pd 0.130 0.293 0.792 x8
Pd 0.146 0.500 0.397 x4

Computed properties:
formation enthalpy at 0 K = -0.483 eV/atom

***

[13]
La2ZnP3Pd4 | PBE-GGA | relaxed

a = 4.263 Å, b = 4.263 Å, c = 10.084 Å
α = 90.00°, β = 90.00°, γ = 90.00°
Space group P-4m2 (No. 115)
One atom of each set of equivalent atoms:
La 0.000 0.500 0.243 x2
Zn 0.000 0.000 0.500 x1
P 0.000 0.500 0.865 x2
P 0.500 0.500 0.500 x1
Pd 0.000 0.000 0.000 x1
Pd 0.000 0.500 0.628 x2
Pd 0.500 0.500 0.000 x1

Computed properties:
formation enthalpy at 0 K = -0.939 eV/atom

***

[14]
LaPm4P5 | PBE-GGA | relaxed

a = 9.306 Å, b = 9.306 Å, c = 5.885 Å
α = 90.00°, β = 90.00°, γ = 90.00°
Space group I4/m (No. 87)
One atom of each set of equivalent atoms:
La 0.000 0.000 0.000 x2
Pm 0.101 0.301 0.500 x8
P 0.000 0.000 0.500 x2
P 0.101 0.303 0.000 x8

Computed properties:
formation enthalpy at 0 K = -1.563 eV/atom

***

[15]
LaPm3P4 | PBE-GGA | relaxed

a = 8.339 Å, b = 11.783 Å, c = 4.170 Å
α = 90.00°, β = 90.00°, γ = 90.00°
Space group Cmmm (No. 65)
One atom of each set of equivalent atoms:
La 0.000 0.000 0.000 x2
Pm 0.000 0.500 0.000 x2
Pm 0.250 0.250 0.500 x4
P 0.000 0.252 0.000 x4
P 0.246 0.500 0.500 x4

Computed properties:
formation enthalpy at 0 K = -1.563 eV/atom

***

[16]
La2Pm3P4 | PBE-GGA | relaxed

a = 13.728 Å, b = 4.145 Å, c = 10.198 Å
α = 90.00°, β = 118.96°, γ = 90.00°
Space group C2/m (No. 12)
One atom of each set of equivalent atoms:
La 0.103 0.000 0.392 x4
Pm 0.000 0.500 0.000 x2
Pm 0.207 0.500 0.815 x4
P 0.101 0.000 0.899 x4
P 0.202 0.500 0.300 x4

Computed properties:
formation enthalpy at 0 K = -1.401 eV/atom

***

[17]
LaPmP | PBE-GGA | relaxed

a = 3.637 Å, b = 3.637 Å, c = 13.149 Å
α = 90.00°, β = 90.00°, γ = 90.00°
Space group I4mm (No. 107)
One atom of each set of equivalent atoms:
La 0.000 0.000 0.000 x2
Pm 0.000 0.000 0.247 x2
P 0.000 0.000 0.628 x2

Computed properties:
formation enthalpy at 0 K = -0.770 eV/atom
distance to the lowest polymorph of the same formula = 0.196 eV/atom

***

[18]
LaPm2P | PBE-GGA | relaxed

a = 3.9316 Å, b = 3.9316 Å, c = 28.7433 Å
α = 90.00°, β = 90.00°, γ = 120.00°
Space group R-3m (No. 166, hexagonal axes)
One atom of each set of equivalent atoms:
La 0.0000 0.0000 0.0000 x3
Pm 0.0000 0.0000 0.2251 x6
P 0.0000 0.0000 0.5000 x3

Computed properties:
formation enthalpy at 0 K = -0.690 eV/atom
distance to the lowest polymorph of the same formula = 0.000 eV/atom

***

[19]
La5Pm3P8 | PBE-GGA | relaxed

a = 8.4448 Å, b = 8.4448 Å, c = 20.6896 Å
α = 90.00°, β = 90.00°, γ = 120.00°
Space group R-3m (No. 166, hexagonal axes)
One atom of each set of equivalent atoms:
La 0.0000 0.0000 0.0000 x3
La 0.0000 0.0000 0.5000 x3
La 0.0000 0.5000 0.0000 x9
Pm 0.0000 0.5000 0.5000 x9
P 0.0000 0.0000 0.2479 x6
P 0.0029 0.5015 0.7515 x18

Computed properties:
formation enthalpy at 0 K = -1.566 eV/atom

***

[20]
LaPmP | PBE-GGA | relaxed

a = 4.0555 Å, b = 4.0555 Å, c = 6.8583 Å
α = 90.00°, β = 90.00°, γ = 120.00°
Space group P3m1 (No. 156)
One atom of each set of equivalent atoms:
La 0.0000 0.0000 0.0000 x1
Pm 0.3333 0.6667 0.5208 x1
P 0.6667 0.3333 0.7525 x1

Computed properties:
formation enthalpy at 0 K = -0.948 eV/atom
distance to the lowest polymorph of the same formula = 0.018 eV/atom

***

[21]
LaPmP | PBE-GGA | relaxed

a = 4.0613 Å, b = 4.0613 Å, c = 40.7336 Å
α = 90.00°, β = 90.00°, γ = 120.00°
Space group R-3m (No. 166, hexagonal axes)
One atom of each set of equivalent atoms:
La 0.0000 0.0000 0.1214 x6
Pm 0.0000 0.0000 0.2928 x6
P 0.0000 0.0000 0.4130 x6

Computed properties:
formation enthalpy at 0 K = -0.966 eV/atom
distance to the lowest polymorph of the same formula = 0.000 eV/atom

***

[22]
La5PmP6 | PBE-GGA | relaxed

a = 7.366 Å, b = 12.758 Å, c = 7.366 Å
α = 90.00°, β = 109.47°, γ = 90.00°
Space group C2/m (No. 12)
One atom of each set of equivalent atoms:
La 0.000 0.000 0.000 x2
La 0.000 0.167 0.500 x4
La 0.000 0.333 0.000 x4
Pm 0.000 0.500 0.500 x2
P 0.247 0.335 0.748 x8
P 0.247 0.500 0.252 x4

Computed properties:
formation enthalpy at 0 K = -1.572 eV/atom

***

[23]
LaPm2P | PBE-GGA | relaxed

a = 3.750 Å, b = 3.750 Å, c = 7.940 Å
α = 90.00°, β = 90.00°, γ = 90.00°
Space group P4/mmm (No. 123)
One atom of each set of equivalent atoms:
La 0.000 0.000 0.000 x1
Pm 0.500 0.500 0.309 x2
P 0.000 0.000 0.500 x1

Computed properties:
formation enthalpy at 0 K = -0.550 eV/atom
distance to the lowest polymorph of the same formula = 0.139 eV/atom